The following is a DFT calculation (PBE-GGA) of Zr4Co5 after structural relaxation.

The space group is I4/mmm (No. 139) and the conventional cell measures 8.536, 8.536 and 3.853 Å, with angles of 90.00, 90.00 and 90.00 degrees. Symmetry generates all atoms from Zr at (0.000, 0.292, 0.000), Co at (0.000, 0.000, 0.000) and Co at (0.160, 0.160, 0.500).

The value obtained for the magnetization is 0.001 μB per formula unit. For the energy above the most stable polymorph in this dataset, the calculation gives 0 meV/atom. As for the electronic total energy: -7.926 eV/atom.

The following is a DFT calculation (PBE-GGA) of ZrCo7 after structural relaxation.

The space group is Fm-3m (No. 225) and the conventional cell measures 7.288, 7.288 and 7.288 Å, with angles of 90.00, 90.00 and 90.00 degrees. Symmetry generates all atoms from Zr at (0.000, 0.000, 0.000), Co at (0.000, 0.000, 0.500) and Co at (0.000, 0.250, 0.250).

The value obtained for the magnetization is 9.212 μB per formula unit. As for the electronic total energy: -7.252 eV/atom.

The following is a DFT calculation (PBE-GGA) of ZrCo after structural relaxation.

The space group is P6_3/mmc (No. 194) and the conventional cell measures 3.9472, 3.9472 and 5.1303 Å, with angles of 90.00, 90.00 and 120.00 degrees. Symmetry generates all atoms from Zr at (0.3333, 0.6667, 0.2500) and Co at (0.0000, 0.0000, 0.0000).

The value obtained for the magnetization is 0.000 μB per formula unit. As for the electronic total energy: -8.042 eV/atom.

The following is a DFT calculation (PBE-GGA) of ZrCo after structural relaxation.

The space group is R-3m (No. 166, hexagonal axes) and the conventional cell measures 3.7425, 3.7425 and 18.0502 Å, with angles of 90.00, 90.00 and 120.00 degrees. Symmetry generates all atoms from Zr at (0.0000, 0.0000, 0.0951) and Co at (0.0000, 0.0000, 0.3330).

The value obtained for the magnetization is 0.000 μB per formula unit. As for the electronic total energy: -7.894 eV/atom.

The following is a DFT calculation (PBE-GGA) of ZrCo after structural relaxation.

The space group is Cm (No. 8) and the conventional cell measures 9.721, 3.262 and 6.986 Å, with angles of 90.00, 115.20 and 90.00 degrees. Symmetry generates all atoms from Zr at (0.000, 0.000, 0.000), Zr at (0.132, 0.500, 0.711), Zr at (0.310, 0.500, 0.377), Co at (0.083, 0.000, 0.391), Co at (0.292, 0.000, 0.052) and Co at (0.350, 0.000, 0.698).

The value obtained for the magnetization is 0.000 μB per formula unit. As for the electronic total energy: -8.033 eV/atom.

The following is a DFT calculation (PBE-GGA) of ZrCo after structural relaxation.

The space group is P2_13 (No. 198) and the conventional cell measures 5.125, 5.125 and 5.125 Å, with angles of 90.00, 90.00 and 90.00 degrees. Symmetry generates all atoms from Zr at (0.067, 0.067, 0.067) and Co at (0.068, 0.568, 0.932).

The value obtained for the magnetization is 0.000 μB per formula unit. As for the electronic total energy: -7.953 eV/atom.

The following is a DFT calculation (PBE-GGA) of Zr5Co4 after structural relaxation.

The space group is P6_3/mcm (No. 193) and the conventional cell measures 8.1065, 8.1065 and 5.4185 Å, with angles of 90.00, 90.00 and 120.00 degrees. Symmetry generates all atoms from Zr at (0.0000, 0.2734, 0.2500), Zr at (0.3333, 0.6667, 0.0000), Co at (0.0000, 0.0000, 0.0000) and Co at (0.0000, 0.4040, 0.7500).

The value obtained for the magnetization is 0.000 μB per formula unit. For the energy above the most stable polymorph in this dataset, the calculation gives 95 meV/atom. As for the electronic total energy: -8.070 eV/atom.

The following is a DFT calculation (PBE-GGA) of ZrCo after structural relaxation.

The space group is I-43m (No. 217) and the conventional cell measures 7.411, 7.411 and 7.411 Å, with angles of 90.00, 90.00 and 90.00 degrees. Symmetry generates all atoms from Zr at (0.199, 0.199, 0.801) and Co at (0.119, 0.119, 0.119).

The value obtained for the magnetization is 0.000 μB per formula unit. As for the electronic total energy: -7.055 eV/atom.